No. 1
LiNiIr2 | PBE-GGA | relaxed

- Magnetization: 0.78 μB/cell
- Energy relative to the elements: 0.022 eV per atom
- Offset from the most stable computed form: 97 meV per atom
- Crystal system: orthorhombic

Lattice parameters (Å, degrees): 2.708 4.357 4.520 90.00 90.00 90.00
Space group Pmmm (No. 47)
Symmetry-distinct sites (fractional):
Li  0.000  0.000  0.000 (multiplicity 1)
Ni  0.500  0.000  0.500 (multiplicity 1)
Ir  0.000  0.500  0.500 (multiplicity 1)
Ir  0.500  0.500  0.000 (multiplicity 1)

***

No. 2
Cs2In3Au5 | PBE-GGA | relaxed

- Magnetization: 0.00 μB/cell
- Energy relative to the elements: -0.232 eV per atom
- Crystal system: orthorhombic

Lattice parameters (Å, degrees): 11.437 13.872 7.209 90.00 90.00 90.00
Space group Ibam (No. 72)
Symmetry-distinct sites (fractional):
Cs  0.236  0.131  0.000 (multiplicity 8)
In  0.000  0.500  0.250 (multiplicity 4)
In  0.103  0.135  0.500 (multiplicity 8)
Au  0.000  0.000  0.250 (multiplicity 4)
Au  0.000  0.274  0.250 (multiplicity 8)
Au  0.147  0.389  0.000 (multiplicity 8)

***

No. 3
Ag2PtW | PBE-GGA | relaxed

- Magnetization: 0.00 μB/cell
- Energy relative to the elements: 0.215 eV per atom
- Offset from the most stable computed form: 100 meV per atom
- Crystal system: orthorhombic

Lattice parameters (Å, degrees): 2.783 3.992 6.080 90.00 90.00 90.00
Space group Pmm2 (No. 25)
Symmetry-distinct sites (fractional):
Ag  0.000  0.000  0.000 (multiplicity 1)
Ag  0.500  0.500  0.244 (multiplicity 1)
Pt  0.000  0.000  0.531 (multiplicity 1)
W  0.500  0.500  0.720 (multiplicity 1)

***

No. 4
POsRu2 | PBE-GGA | relaxed

- Magnetization: 0.00 μB/cell
- Energy relative to the elements: 0.325 eV per atom
- Crystal system: orthorhombic

Lattice parameters (Å, degrees): 2.833 4.404 4.413 90.00 90.00 90.00
Space group Pmmm (No. 47)
Symmetry-distinct sites (fractional):
P  0.000  0.000  0.000 (multiplicity 1)
Os  0.500  0.500  0.000 (multiplicity 1)
Ru  0.000  0.500  0.500 (multiplicity 1)
Ru  0.500  0.000  0.500 (multiplicity 1)